Computed, not measured: a relaxed structure of PaFeCu2O8 at the GGA+U level of DFT.

```
data_PaFeCu2O8
_symmetry_space_group_name_H-M 'I -4 m 2'
_symmetry_Int_Tables_number 119
_symmetry_space_group_name_Hall 'I -4 -2'
_cell_length_a 6.789
_cell_length_b 6.789
_cell_length_c 6.454
_cell_angle_alpha 90.00
_cell_angle_beta 90.00
_cell_angle_gamma 90.00
loop_
_atom_site_label
_atom_site_fract_x
_atom_site_fract_y
_atom_site_fract_z
Pa1 0.000 0.000 0.000
Fe1 0.000 0.500 0.250
Cu1 0.000 0.000 0.500
Cu2 0.000 0.500 0.750
O1 0.000 0.190 0.294
O2 0.000 0.327 0.966
```

Computed properties:
**Final energy**: -6.447 eV per atom